Below is a geometry-optimized YZr2ReOs structure, with properties calculated at the PBEsol level.

```
YZr2ReOs
1.0
4.887 0.000 0.000
0.000 4.887 0.000
0.000 0.000 5.135
Y Zr Re Os
1 2 1 1
Direct
0.000 0.000 0.000
0.000 0.500 0.500
0.500 0.000 0.500
0.500 0.500 0.000
0.000 0.000 0.500
```

## Properties
Final energy ... -45.23 eV per formula unit
Space-group type ... P4/mmm (123)

Below is a geometry-optimized ZnRe2Os structure, with properties calculated at the PBEsol level.

```
ZnRe2Os
1.0
4.553 0.000 0.000
0.000 4.553 0.000
0.000 0.000 2.756
Zn Re Os
1 2 1
Direct
0.000 0.000 0.000
0.000 0.500 0.500
0.500 0.000 0.500
0.500 0.500 0.000
```

## Properties
Final energy ... -38.53 eV per formula unit
Space-group type ... P4/mmm (123)

Below is a geometry-optimized Zn2ReOs structure, with properties calculated at the PBEsol level.

```
Zn2ReOs
1.0
1.404 -2.301 0.000
1.404 2.301 0.000
0.000 0.000 8.861
Zn Re Os
2 1 1
Direct
0.000 0.000 0.000
0.500 0.500 0.246
0.000 0.000 0.503
0.500 0.500 0.747
```

## Properties
Relative energy among the computed polymorphs ... 0.96 eV/f.u.
Space-group type ... Cmm2 (35)

no.,mass density (g cm⁻³)
1,8.77
2,18.26
3,14.71